(1)
# LiReCl2 PBE-GGA optimized geometry
data_LiReCl2
_symmetry_space_group_name_H-M 'P 1'
_symmetry_Int_Tables_number 1
_cell_length_a 3.0587
_cell_length_b 3.9381
_cell_length_c 6.7651
_cell_angle_alpha 90.00
_cell_angle_beta 90.00
_cell_angle_gamma 90.00
loop_
_symmetry_equiv_pos_as_xyz
'x,y,z'
loop_
_atom_site_label
_atom_site_type_symbol
_atom_site_fract_x
_atom_site_fract_y
_atom_site_fract_z
Li1 Li 0.0000 0.0000 0.0000
Re1 Re 0.5000 0.0000 0.5000
Cl1 Cl 0.0000 0.5000 0.5000
Cl2 Cl 0.5000 0.5000 0.0000
# formation energy (no corrections): 0.250 eV/atom
# N(E_F): 2.38 states/eV/f.u.

=====

(2)
# LiReCl2 PBE-GGA optimized geometry
data_LiReCl2
_symmetry_space_group_name_H-M 'P 1'
_symmetry_Int_Tables_number 1
_cell_length_a 3.0918
_cell_length_b 3.0918
_cell_length_c 7.3920
_cell_angle_alpha 90.00
_cell_angle_beta 90.00
_cell_angle_gamma 90.00
loop_
_symmetry_equiv_pos_as_xyz
'x,y,z'
loop_
_atom_site_label
_atom_site_type_symbol
_atom_site_fract_x
_atom_site_fract_y
_atom_site_fract_z
Li1 Li 0.0000 0.0000 0.0000
Re1 Re 0.5000 0.5000 0.2627
Cl1 Cl 0.0000 0.0000 0.4257
Cl2 Cl 0.5000 0.5000 0.9083
# formation energy (no corrections): -0.017 eV/atom
# N(E_F): 0.26 states/eV/f.u.

=====

(3)
# Li2ReCl PBE-GGA optimized geometry
data_Li2ReCl
_symmetry_space_group_name_H-M 'P 1'
_symmetry_Int_Tables_number 1
_cell_length_a 4.7685
_cell_length_b 4.7685
_cell_length_c 4.7685
_cell_angle_alpha 60.00
_cell_angle_beta 60.00
_cell_angle_gamma 60.00
loop_
_symmetry_equiv_pos_as_xyz
'x,y,z'
loop_
_atom_site_label
_atom_site_type_symbol
_atom_site_fract_x
_atom_site_fract_y
_atom_site_fract_z
Li1 Li 0.2500 0.2500 0.2500
Li2 Li 0.7500 0.7500 0.7500
Re1 Re 0.0000 0.0000 0.0000
Cl1 Cl 0.5000 0.5000 0.5000
# formation energy (no corrections): 0.886 eV/atom
# N(E_F): 2.29 states/eV/f.u.

=====

(4)
# LiRe2Cl PBE-GGA optimized geometry
data_LiRe2Cl
_symmetry_space_group_name_H-M 'P 1'
_symmetry_Int_Tables_number 1
_cell_length_a 2.6416
_cell_length_b 2.6416
_cell_length_c 8.7979
_cell_angle_alpha 90.00
_cell_angle_beta 90.00
_cell_angle_gamma 90.00
loop_
_symmetry_equiv_pos_as_xyz
'x,y,z'
loop_
_atom_site_label
_atom_site_type_symbol
_atom_site_fract_x
_atom_site_fract_y
_atom_site_fract_z
Li1 Li 0.0000 0.0000 0.0000
Re1 Re 0.5000 0.5000 0.2474
Re2 Re 0.5000 0.5000 0.7526
Cl1 Cl 0.0000 0.0000 0.5000
# formation energy (no corrections): 1.092 eV/atom
# N(E_F): 3.14 states/eV/f.u.

=====

(5)
# LiRe2Cl PBE-GGA optimized geometry
data_LiRe2Cl
_symmetry_space_group_name_H-M 'P 1'
_symmetry_Int_Tables_number 1
_cell_length_a 8.3298
_cell_length_b 8.3298
_cell_length_c 8.3298
_cell_angle_alpha 155.95
_cell_angle_beta 155.95
_cell_angle_gamma 34.27
loop_
_symmetry_equiv_pos_as_xyz
'x,y,z'
loop_
_atom_site_label
_atom_site_type_symbol
_atom_site_fract_x
_atom_site_fract_y
_atom_site_fract_z
Li1 Li 0.0000 0.0000 0.0000
Re1 Re 0.2500 0.7500 0.5000
Re2 Re 0.7500 0.2500 0.5000
Cl1 Cl 0.5000 0.5000 0.0000
# formation energy (no corrections): 0.562 eV/atom
# N(E_F): 4.59 states/eV/f.u.

=====

(6)
# LiReCl2 PBE-GGA optimized geometry
data_LiReCl2
_symmetry_space_group_name_H-M 'P 1'
_symmetry_Int_Tables_number 1
_cell_length_a 2.9636
_cell_length_b 4.1298
_cell_length_c 5.1909
_cell_angle_alpha 90.00
_cell_angle_beta 90.00
_cell_angle_gamma 90.00
loop_
_symmetry_equiv_pos_as_xyz
'x,y,z'
loop_
_atom_site_label
_atom_site_type_symbol
_atom_site_fract_x
_atom_site_fract_y
_atom_site_fract_z
Li1 Li 0.0000 0.0000 0.0000
Re1 Re 0.5000 0.5000 0.3994
Cl1 Cl 0.0000 0.0000 0.4702
Cl2 Cl 0.5000 0.5000 0.8950
# formation energy (no corrections): 0.159 eV/atom
# N(E_F): 2.55 states/eV/f.u.